DFT (GGA+U) results for a relaxed structure of VCdI2O.

Properties
- Total magnetization: 3.017 μB per cell
- DOS at the Fermi energy: 1.63 states/eV per atom
- DFT total energy: -15.3 eV per cell

Cell: 5.982 5.982 4.086 Å, 90.00 90.00 90.00°
Space group P4/mmm (No. 123)
One atom of each set of equivalent atoms:
1 V 0.000 0.000 0.000 (multiplicity 1)
2 Cd 0.500 0.500 0.500 (multiplicity 1)
3 I 0.000 0.500 0.500 (multiplicity 2)
4 O 0.500 0.500 0.000 (multiplicity 1)